This record from Alexandria describes an optimized crystal structure of Ca2CoMo. The functional is PBE.

The volume is 22.18 Å³ per atom. Its energy of formation is 0.866 eV/atom. The value obtained for the density of states at the Fermi level is 1.143 states/eV per atom. The calculation puts the spin magnetization at 1.0689 μB per atom. For the energy above the most stable polymorph in this dataset, the calculation gives 0.524 eV/atom. The calculation puts the density at 4.4 g/cm3.

Structure (POSCAR):
```
Ca2CoMo
1.0
3.6848 0.0000 0.0000
0.0000 3.6848 0.0000
0.0000 0.0000 6.5326
Mo Ca Co
1 2 1
Direct
0.5000 0.5000 0.7500
0.0000 0.0000 0.4876
0.0000 0.0000 0.0124
0.5000 0.5000 0.2500
```